A plane-wave DFT calculation with GGA-PBE was carried out for a geometry-optimized LiTc structure.

## Properties
Energy relative to the elements (eV per atom): 0.255
Energy above the most stable polymorph in this dataset (meV per atom): 161
N(E_F) (states/eV per cell): 1.45
SG: R-3m (166)

a b c (Å): 5.0212 5.0212 5.0212
angles (deg): 30.31 30.31 30.31
Fractional positions:
Tc: 0.5000 0.5000 0.5000
Li: 0.0000 0.0000 0.0000